Compound: GaWF3
Source: the Alexandria database
Functional: PBE with a Hubbard U
Structure: relaxed

Properties
Magnetization ... 3.4 μB per cell
Uncorrected energy ... -4.78 eV/atom

abc: 4.3751 4.3751 4.3751
angles: 90.00 90.00 90.00
Last column: nearest neighbours and their distance in Å.
Fractional positions:
1 F 0.0000 0.5000 0.0000  2 W 2.19
2 F 0.5000 0.0000 0.0000  2 W 2.19
3 F 0.0000 0.0000 0.5000  2 W 2.19
4 Ga 0.5000 0.5000 0.5000  12 F 3.09
5 W 0.0000 0.0000 0.0000  6 F 2.19

Compound: GaWF2
Source: the Alexandria database
Functional: PBE with a Hubbard U
Structure: relaxed

Properties
Magnetization ... 3.5 μB per cell
Uncorrected energy ... -4.26 eV/atom

abc: 3.9283 3.9283 8.2885
angles: 76.29 76.29 90.00
Last column: nearest neighbours and their distance in Å.
Fractional positions:
1 W 0.7500 0.2500 0.5000  4 F 2.30
2 W 0.0000 0.0000 0.0000  4 F 2.30
3 Ga 0.2500 0.7500 0.5000  4 F 2.52, 4 W 2.78
4 Ga 0.5000 0.5000 0.0000  4 F 2.52, 4 W 2.78
5 F 0.3750 0.3049 0.7500  2 W 2.30, 2 F 2.42, 2 Ga 2.52
6 F 0.6951 0.1250 0.2500  2 W 2.30, 2 F 2.42, 2 Ga 2.52
7 F 0.8750 0.9451 0.7500  2 W 2.30, 2 F 2.42, 2 Ga 2.52
8 F 0.0549 0.6250 0.2500  2 W 2.30, 2 F 2.42, 2 Ga 2.52

Compound: Zr2GaWF
Source: the Alexandria database
Functional: PBE with a Hubbard U
Structure: relaxed

Properties
Magnetization ... 0.8 μB per cell
Uncorrected energy ... -5.98 eV/atom

abc: 4.4728 4.4198 4.4728
angles: 90.00 90.00 90.00
Last column: nearest neighbours and their distance in Å.
Fractional positions:
1 Zr 0.5000 0.0000 0.0000  2 F 2.24
2 Zr 0.0000 0.0000 0.5000  2 F 2.24
3 Ga 0.5000 0.5000 0.5000  8 Zr 3.14, 4 W 3.16
4 F 0.0000 0.0000 0.0000  2 W 2.21, 4 Zr 2.24
5 W 0.0000 0.5000 0.0000  2 F 2.21

Ρ list, top to bottom, in g/cm³: 6.16, 8.04, 8.54